## PmHgBi2 (PBE)

Data for an optimized crystal structure of PmHgBi2.

Output
Excess energy over the best structure of this formula in the dataset: 36 meV per atom
M_tot: 0.0 Bohr magnetons per cell
Energy of formation: -41.1 kJ/mol of atoms
Calculated total energy: -3.629 eV/atom
D(E_F): 2.8 states/eV per cell

a b c (Å): 4.317 4.317 6.613
angles (deg): 90.00 90.00 90.00
Space group P4/mmm (No. 123)
Asymmetric unit:
Pm1 0.000 0.000 0.000
Hg1 0.000 0.000 0.500
Bi1 0.500 0.500 0.232